# 1
Below is a relaxed structure of Rb2ZnSb, with properties calculated at the GGA-PBE level. Values from VASP.

Calculated values
Density of states at the Fermi level, states/eV/cell: 3.5
E above lowest polymorph, meV per atom: 450
ΔE_f (raw), meV/atom: 230
Electronic total energy, eV per atom: -1.603
Calculated density, Mg/m³: 3.5

```
&SYSTEM
  ibrav = 0, nat = 8, ntyp = 3
/
ATOMIC_SPECIES
Rb 85.47 Rb.upf
Zn 65.41 Zn.upf
Sb 121.76 Sb.upf
CELL_PARAMETERS angstrom
-2.654 2.654 11.905
2.654 -2.654 11.905
2.654 2.654 -11.905
ATOMIC_POSITIONS angstrom
Rb 3.981 1.252 -2.976
Rb 1.252 1.327 2.976
Rb -1.327 1.402 8.929
Rb 1.402 1.327 14.881
Zn 0.000 0.000 0.000
Zn 0.000 2.654 5.952
Sb 2.654 0.000 5.952
Sb 0.000 0.000 11.905
```

# 2
Below is a relaxed structure of Mn2OsW, with properties calculated at the GGA-PBE level. Values from VASP.

Calculated values
ΔE_f, meV per atom: 89
Density of states at the Fermi level, states/eV/cell: 1.7
Electronic total energy, eV per atom: -10.541
Calculated density, Mg/m³: 14.7

```
&SYSTEM
  ibrav = 0, nat = 4, ntyp = 3
/
ATOMIC_SPECIES
Mn 54.94 Mn.upf
Os 190.23 Os.upf
W 183.84 W.upf
CELL_PARAMETERS angstrom
3.138 0.000 0.000
0.000 4.124 0.000
0.000 0.000 4.236
ATOMIC_POSITIONS angstrom
Mn 0.000 0.000 0.000
Mn 1.569 0.000 2.118
Os 0.000 2.062 2.118
W 1.569 2.062 0.000
```

# 3
Below is a relaxed structure of SiOsPb2, with properties calculated at the GGA-PBE level. Values from VASP.

Calculated values
Density of states at the Fermi level, states/eV/cell: 3.0
ΔE_f (raw), meV/atom: 1009
Electronic total energy, eV per atom: -5.009
Calculated density, Mg/m³: 12.4

```
&SYSTEM
  ibrav = 0, nat = 4, ntyp = 3
/
ATOMIC_SPECIES
Si 28.09 Si.upf
Os 190.23 Os.upf
Pb 207.20 Pb.upf
CELL_PARAMETERS angstrom
4.965 0.000 0.000
0.000 4.965 0.000
0.000 0.000 3.433
ATOMIC_POSITIONS angstrom
Si 0.000 0.000 0.000
Os 2.483 2.483 0.000
Pb 0.000 2.483 1.717
Pb 2.483 0.000 1.717
```

# 4
Below is a relaxed structure of KZn2GaTe, with properties calculated at the GGA-PBE level. Values from VASP.

Calculated values
Density of states at the Fermi level, states/eV/cell: 2.2
ΔE_f (raw), meV/atom: 278
Electronic total energy, eV per atom: -1.685
Calculated density, Mg/m³: 3.3

```
&SYSTEM
  ibrav = 0, nat = 5, ntyp = 4
/
ATOMIC_SPECIES
K 39.10 K.upf
Zn 65.41 Zn.upf
Ga 69.72 Ga.upf
Te 127.60 Te.upf
CELL_PARAMETERS angstrom
5.388 0.000 0.000
0.000 5.388 0.000
0.000 0.000 6.282
ATOMIC_POSITIONS angstrom
K 0.000 0.000 0.000
Zn 0.000 2.694 3.141
Zn 2.694 0.000 3.141
Ga 2.694 2.694 0.000
Te 2.694 2.694 3.141
```